## Gd2CdIn (PBEsol)

Data for a geometry-optimized Gd2CdIn structure.

Calculated values
electronic total energy: -34.967 eV per cell
symmetry: Fm-3m
calculated volume: 102.9 Å³ per cell

Cell lengths 5.260, 5.260, 5.260 Å; angles 60.00, 60.00, 60.00 degrees
Sites, in units of the cell vectors:
Gd1 0.250 0.250 0.250
Gd2 0.750 0.750 0.750
Cd1 0.000 0.000 0.000
In1 0.500 0.500 0.500